1.
NaLiY2H: relaxed, GGA-PBE.

Symmetry: P4/mmm
Energy relative to the lowest polymorph listed for this composition, eV per formula unit: 0.06
Spin magnetization, μB/f.u.: 0.698
Density, g/cm³: 3.1
E, eV per atom: -3.82
D(E_F), states/eV/f.u.: 5.2

POSCAR file:
```
NaLiY2H
1.0
5.087 0.000 0.000
0.000 5.087 0.000
0.000 0.000 4.287
Na Li Y H
1 1 2 1
Cartesian
0.000 0.000 0.000 Na
2.543 2.543 0.000 Li
0.000 2.543 2.144 Y
2.543 0.000 2.144 Y
2.543 2.543 2.144 H
```



2.
Na2La2Mg: relaxed, GGA-PBE.

Symmetry: P4/mbm
Energy relative to the lowest polymorph listed for this composition, eV per formula unit: 0.24
Spin magnetization, μB/f.u.: 0.000
Density, g/cm³: 3.5
E, eV per atom: -2.55
D(E_F), states/eV/f.u.: 7.0
E_form, meV per atom: 263

POSCAR file:
```
Na2La2Mg
1.0
7.574 0.000 0.000
0.000 7.574 0.000
0.000 0.000 5.789
Na La Mg
4 4 2
Cartesian
0.999 2.788 0.000 Na
2.788 6.575 0.000 Na
4.786 0.999 0.000 Na
6.575 4.786 0.000 Na
1.352 5.139 2.895 La
2.434 1.352 2.895 La
5.139 6.221 2.895 La
6.221 2.434 2.895 La
0.000 0.000 0.000 Mg
3.787 3.787 0.000 Mg
```



3.
YTcSe2: relaxed, GGA-PBE.

Symmetry: I-42d
Energy relative to the lowest polymorph listed for this composition, eV per formula unit: 1.19
Spin magnetization, μB/f.u.: 0.000
Density, g/cm³: 5.7
E, eV per atom: -6.46
E_form (uncorrected), eV/atom: -0.513
D(E_F), states/eV/f.u.: 4.3

POSCAR file:
```
YTcSe2
1.0
-2.678 2.678 7.065
2.678 -2.678 7.065
2.678 2.678 -7.065
Y Tc Se
2 2 4
Cartesian
0.000 0.000 0.000 Y
0.000 2.678 3.532 Y
2.678 0.000 3.532 Tc
0.000 0.000 7.065 Tc
1.339 -1.025 5.299 Se
1.653 1.339 1.766 Se
1.339 3.703 -1.766 Se
1.025 1.339 8.831 Se
```



4.
NiBrCl4: relaxed, GGA-PBE.

Symmetry: F-43m
Energy relative to the lowest polymorph listed for this composition, eV per formula unit: 6.39
Spin magnetization, μB/f.u.: 1.198
Density, g/cm³: 3.4
E, eV per atom: -1.52
E_form (uncorrected), eV/atom: 0.958
D(E_F), states/eV/f.u.: 12.3

POSCAR file:
```
NiBrCl4
1.0
0.000 4.080 4.080
4.080 0.000 4.080
4.080 4.080 0.000
Ni Br Cl
1 1 4
Cartesian
0.000 0.000 0.000 Ni
6.120 6.120 6.120 Br
3.056 3.056 3.056 Cl
5.104 5.104 3.056 Cl
5.104 3.056 5.104 Cl
3.056 5.104 5.104 Cl
```



5.
ReAs: relaxed, GGA-PBE.

Symmetry: Cm
Energy relative to the lowest polymorph listed for this composition, eV per formula unit: 0.33
Spin magnetization, μB/f.u.: 0.000
Density, g/cm³: 13.2
E, eV per atom: -8.31
D(E_F), states/eV/f.u.: 0.8
E_form, meV per atom: 239

POSCAR file:
```
ReAs
1.0
5.255 -1.501 0.000
5.255 1.501 0.000
-0.834 0.000 6.255
Re As
3 3
Cartesian
0.000 0.000 0.000 Re
3.647 0.000 1.568 Re
6.319 0.000 2.036 Re
-0.455 0.000 3.496 As
2.345 0.000 3.732 As
6.854 0.000 6.111 As
```



6.
Pm6Nd6Sm: relaxed, GGA-PBE.

Symmetry: P6/mmm
Spin magnetization, μB/f.u.: 0.000
Density, g/cm³: 6.8
E, eV per atom: -4.49
D(E_F), states/eV/f.u.: 25.3
E_form, meV per atom: 266

POSCAR file:
```
Pm6Nd6Sm
1.0
6.788 0.000 0.000
-3.394 5.879 0.000
0.000 0.000 11.621
Pm Nd Sm
6 6 1
Cartesian
0.000 0.000 1.707 Pm
0.000 0.000 9.914 Pm
0.000 3.919 0.000 Pm
0.000 3.919 5.810 Pm
3.394 1.960 0.000 Pm
3.394 1.960 5.810 Pm
-1.697 2.939 2.913 Nd
-1.697 2.939 8.708 Nd
3.394 0.000 2.913 Nd
3.394 0.000 8.708 Nd
1.697 2.939 2.913 Nd
1.697 2.939 8.708 Nd
0.000 0.000 5.810 Sm
```